A relaxed Sr20P12BrCl3O48 crystal. Source: the Alexandria database, functional GGA-PBEsol.

The structure in extended XYZ format:
```
84
Lattice="9.878 0.000 0.000 -4.939 8.555 0.000 0.000 0.000 14.336" Properties=species:S:1:pos:R:3 pbc="T T T"
P 1.658 3.479 1.790
P 1.091 8.253 8.952
P 3.848 0.301 5.383
P 3.842 0.303 12.546
P 7.693 3.182 5.383
P 1.097 8.251 1.790
P -2.756 5.379 1.790
P 1.663 3.483 8.952
P -2.754 5.373 8.952
P 3.276 5.071 5.383
P 7.694 3.175 12.546
P 3.281 5.076 12.546
Cl 0.000 0.000 3.608
Cl 0.000 0.000 10.728
Cl 0.000 0.000 7.168
Sr 0.000 5.703 10.753
Sr 1.198 2.184 5.378
Sr 2.410 8.486 12.515
Sr 0.000 5.703 14.334
Sr -3.615 6.399 12.515
Sr -3.646 6.425 5.378
Sr 4.939 2.852 10.731
Sr 0.000 5.703 7.158
Sr 2.529 0.069 1.821
Sr 8.585 2.130 8.958
Sr 4.939 2.852 7.178
Sr 3.734 6.330 1.821
Sr 1.205 2.224 12.515
Sr 4.939 2.852 3.583
Sr 4.939 2.852 0.001
Sr 2.491 0.054 8.958
Sr 8.554 2.156 1.821
Sr 2.448 8.500 5.378
Sr 0.000 5.703 3.604
Sr 3.741 6.370 8.958
O -0.282 7.517 8.952
O -2.725 6.285 10.206
O 5.832 1.235 1.791
O 3.073 0.782 4.129
O -0.902 7.316 5.375
O 5.892 4.434 1.791
O 7.695 2.252 11.300
O -2.737 6.284 7.700
O 0.865 3.042 7.700
O 3.091 2.877 8.960
O 0.859 3.052 10.206
O 1.712 5.040 8.952
O -0.894 7.319 12.545
O 1.872 7.783 7.700
O 1.847 5.669 12.545
O 1.848 5.677 5.375
O -0.946 4.116 5.375
O -0.271 7.506 1.817
O 1.866 7.772 10.206
O 5.221 1.037 5.384
O 1.898 7.790 3.035
O -2.756 6.303 3.035
O 3.041 0.765 11.300
O 7.664 2.270 4.129
O 6.369 4.003 5.384
O 3.067 0.771 6.636
O 3.242 3.518 12.519
O 0.858 3.016 3.035
O 1.848 7.771 0.523
O 4.072 5.486 13.813
O 7.676 2.270 6.636
O -0.953 4.121 12.545
O 6.365 3.988 12.519
O 3.091 0.784 13.813
O 3.092 2.886 1.791
O -1.426 4.567 1.817
O -1.431 4.552 8.952
O 4.081 5.538 11.300
O 4.074 5.513 6.636
O 4.080 5.502 4.129
O 5.885 4.439 8.960
O 1.697 5.036 1.817
O 0.867 3.069 0.523
O 5.841 1.238 8.960
O 5.210 1.048 12.519
O 3.227 3.515 5.384
O -2.715 6.269 0.523
O 7.654 2.285 13.813
Br 0.000 0.000 0.000
```

## Properties
Formation energy (no corrections), kJ/mol of atoms: -283
Density of states at the Fermi level, states/eV/atom: 0.00
Space-group type: P-3